Record 1
The following is a PBE calculation of a relaxed structure of LiTaPb2, from Alexandria via LeMat-Bulk.

Computed properties:
DFT total energy = -19.9 eV for the cell shown
Total magnetization = 0.0 μB per cell

Lattice parameters (Å, degrees): 5.376 5.376 3.156 95.93 95.93 99.91
Fractional coordinates of all 4 atoms:
Li 0.000 0.000 0.000
Ta 0.500 0.500 0.000
Pb 0.000 0.500 0.500
Pb 0.500 0.000 0.500



Record 2
The following is a PBE calculation of a relaxed structure of Cr2InPbCl8, from Alexandria via LeMat-Bulk.

Computed properties:
DFT total energy = -51.3 eV for the cell shown
E_form (uncorrected) = -904.7 meV per atom
Total magnetization = 7.0 μB per cell

Lattice parameters (Å, degrees): 7.873 7.873 7.873 107.00 107.00 114.54
Fractional coordinates of all 12 atoms:
Cr 0.000 0.000 0.000
Cr 0.750 0.250 0.500
In 0.250 0.750 0.500
Pb 0.500 0.500 0.000
Cl 0.114 0.431 0.683
Cl 0.187 0.015 0.828
Cl 0.187 0.359 0.172
Cl 0.569 0.253 0.683
Cl 0.569 0.886 0.317
Cl 0.641 0.813 0.828
Cl 0.747 0.431 0.317
Cl 0.985 0.813 0.172



Record 3
The following is a PBE calculation of a relaxed structure of Ta3NiSb, from Alexandria via LeMat-Bulk.

Computed properties:
Polymorph energy (0 for the lowest one) = 0.000 eV per atom
DFT total energy = -42.0 eV for the cell shown
E_form (uncorrected) = 698.4 meV per atom
Total magnetization = 0.0 μB per cell

Lattice parameters (Å, degrees): 4.631 4.631 4.631 90.00 90.00 90.00
Fractional coordinates of all 5 atoms:
Ta 0.000 0.000 0.500
Ta 0.000 0.500 0.000
Ta 0.500 0.000 0.000
Ni 0.000 0.000 0.000
Sb 0.500 0.500 0.500



Record 4
The following is a PBE calculation of a relaxed structure of Ba5Si2Sn, from Alexandria via LeMat-Bulk.

Computed properties:
DFT total energy = -56.3 eV for the cell shown
E_form (uncorrected) = -460.5 meV per atom
Total magnetization = 0.2 μB per cell

Lattice parameters (Å, degrees): 10.509 10.509 10.509 131.32 131.32 71.31
Fractional coordinates of all 16 atoms:
Ba 0.000 0.000 0.000
Ba 0.043 0.543 0.861
Ba 0.182 0.043 0.500
Ba 0.318 0.818 0.861
Ba 0.457 0.318 0.500
Ba 0.500 0.500 0.000
Ba 0.543 0.682 0.500
Ba 0.682 0.182 0.139
Ba 0.818 0.957 0.500
Ba 0.957 0.457 0.139
Si 0.101 0.399 0.500
Si 0.399 0.899 0.298
Si 0.601 0.101 0.702
Si 0.899 0.601 0.500
Sn 0.250 0.250 0.000
Sn 0.750 0.750 0.000



Record 5
The following is a PBE calculation of a relaxed structure of Tb2Nd5HoTh, from Alexandria via LeMat-Bulk.

Computed properties:
DFT total energy = -87.7 eV for the cell shown
Total magnetization = 0.0 μB per cell

Lattice parameters (Å, degrees): 11.233 11.233 10.594 90.00 90.00 152.05
Fractional coordinates of all 18 atoms:
Tb 0.113 0.887 0.504
Tb 0.113 0.887 0.996
Tb 0.887 0.113 0.004
Tb 0.887 0.113 0.496
Nd 0.002 0.998 0.250
Nd 0.278 0.722 0.057
Nd 0.278 0.722 0.443
Nd 0.374 0.626 0.750
Nd 0.500 0.500 0.000
Nd 0.500 0.500 0.500
Nd 0.626 0.374 0.250
Nd 0.722 0.278 0.557
Nd 0.722 0.278 0.943
Nd 0.998 0.002 0.750
Ho 0.398 0.602 0.250
Ho 0.602 0.398 0.750
Th 0.213 0.787 0.750
Th 0.787 0.213 0.250



Record 6
The following is a PBE calculation of a relaxed structure of GePRuO2, from Alexandria via LeMat-Bulk.

Computed properties:
Polymorph energy (0 for the lowest one) = 0.186 eV per atom
DFT total energy = -29.5 eV for the cell shown
E_form (uncorrected) = -62.0 meV per atom
Total magnetization = 0.6 μB per cell

Lattice parameters (Å, degrees): 3.459 3.459 7.024 90.00 90.00 90.00
Fractional coordinates of all 5 atoms:
Ge 0.000 0.000 0.000
P 0.000 0.000 0.500
Ru 0.500 0.500 0.500
O 0.000 0.500 0.000
O 0.500 0.000 0.000



Record 7
The following is a PBE calculation of a relaxed structure of LiSm3Y3S8, from Alexandria via LeMat-Bulk.

Computed properties:
DFT total energy = -98.4 eV for the cell shown
E_form (uncorrected) = -1997.4 meV per atom
Total magnetization = 0.0 μB per cell

Lattice parameters (Å, degrees): 7.884 7.884 7.884 59.79 59.79 59.79
Fractional coordinates of all 15 atoms:
Li 0.000 0.000 0.000
Sm 0.000 0.000 0.500
Sm 0.000 0.500 0.000
Sm 0.500 0.000 0.000
Y 0.000 0.500 0.500
Y 0.500 0.000 0.500
Y 0.500 0.500 0.000
S 0.244 0.244 0.751
S 0.244 0.751 0.244
S 0.249 0.756 0.756
S 0.252 0.252 0.252
S 0.748 0.748 0.748
S 0.751 0.244 0.244
S 0.756 0.249 0.756
S 0.756 0.756 0.249



Record 8
The following is a PBE calculation of a relaxed structure of TbPm3PrTh, from Alexandria via LeMat-Bulk.

Computed properties:
DFT total energy = -61.8 eV for the cell shown
Total magnetization = 0.0 μB per cell

Lattice parameters (Å, degrees): 8.136 5.139 10.292 90.00 108.57 90.00
Fractional coordinates of all 12 atoms:
Tb 0.000 0.250 0.129
Tb 0.000 0.750 0.871
Pm 0.320 0.750 0.705
Pm 0.321 0.250 0.456
Pm 0.328 0.250 0.955
Pm 0.672 0.750 0.045
Pm 0.679 0.750 0.544
Pm 0.680 0.250 0.295
Pr 0.329 0.750 0.208
Pr 0.671 0.250 0.792
Th 0.001 0.250 0.621
Th 0.999 0.750 0.379



Record 9
The following is a PBE calculation of a relaxed structure of SmZnPt2, from Alexandria via LeMat-Bulk.

Computed properties:
DFT total energy = -20.9 eV for the cell shown
Total magnetization = 0.0 μB per cell

Lattice parameters (Å, degrees): 4.512 4.512 3.708 90.00 90.00 90.00
Fractional coordinates of all 4 atoms:
Sm 0.000 0.000 0.000
Zn 0.500 0.500 0.000
Pt 0.000 0.500 0.500
Pt 0.500 0.000 0.500



Record 10
The following is a PBE calculation of a relaxed structure of Sc2HgS, from Alexandria via LeMat-Bulk.

Computed properties:
Polymorph energy (0 for the lowest one) = 0.562 eV per atom
DFT total energy = -19.4 eV for the cell shown
E_form (uncorrected) = -576.5 meV per atom
Total magnetization = 0.0 μB per cell

Lattice parameters (Å, degrees): 4.836 4.836 4.836 60.00 60.00 60.00
Fractional coordinates of all 4 atoms:
Sc 0.250 0.250 0.250
Sc 0.750 0.750 0.750
Hg 0.000 0.000 0.000
S 0.500 0.500 0.500



Record 11
The following is a PBE calculation of a relaxed structure of Cs4K2CdPb2, from Alexandria via LeMat-Bulk.

Computed properties:
DFT total energy = -14.3 eV for the cell shown
Total magnetization = 0.0 μB per cell

Lattice parameters (Å, degrees): 9.424 9.424 7.383 105.48 105.48 53.94
Fractional coordinates of all 9 atoms:
Cs 0.115 0.637 0.765
Cs 0.363 0.885 0.235
Cs 0.637 0.115 0.765
Cs 0.885 0.363 0.235
K 0.343 0.343 0.223
K 0.657 0.657 0.777
Cd 0.000 0.000 0.500
Pb 0.167 0.167 0.761
Pb 0.833 0.833 0.239



Record 12
The following is a PBE calculation of a relaxed structure of TaTiAu, from Alexandria via LeMat-Bulk.

Computed properties:
Polymorph energy (0 for the lowest one) = 0.000 eV per atom
DFT total energy = -47.3 eV for the cell shown
Total magnetization = 0.0 μB per cell

Lattice parameters (Å, degrees): 2.874 4.687 7.835 90.00 94.85 90.00
Fractional coordinates of all 6 atoms:
Ta 0.195 0.250 0.065
Ta 0.805 0.750 0.935
Ti 0.500 0.250 0.731
Ti 0.500 0.750 0.269
Au 0.067 0.750 0.601
Au 0.933 0.250 0.399



Record 13
The following is a PBE calculation of a relaxed structure of MoPdRu3, from Alexandria via LeMat-Bulk.

Computed properties:
Polymorph energy (0 for the lowest one) = 0.000 eV per atom
DFT total energy = -35.8 eV for the cell shown
Total magnetization = 3.0 μB per cell

Lattice parameters (Å, degrees): 4.622 4.622 4.622 90.00 90.00 90.00
Fractional coordinates of all 5 atoms:
Mo 0.000 0.000 0.000
Pd 0.500 0.500 0.500
Ru 0.000 0.000 0.500
Ru 0.000 0.500 0.000
Ru 0.500 0.000 0.000



Record 14
The following is a PBE calculation of a relaxed structure of InIrW2, from Alexandria via LeMat-Bulk.

Computed properties:
DFT total energy = -35.0 eV for the cell shown
Total magnetization = 0.0 μB per cell

Lattice parameters (Å, degrees): 4.858 4.858 2.847 90.00 90.00 90.00
Fractional coordinates of all 4 atoms:
In 0.000 0.000 0.000
Ir 0.500 0.500 0.000
W 0.000 0.500 0.500
W 0.500 0.000 0.500



Record 15
The following is a PBE calculation of a relaxed structure of Pa2Be16Ga, from Alexandria via LeMat-Bulk.

Computed properties:
DFT total energy = -82.9 eV for the cell shown
Total magnetization = 0.0 μB per cell

Lattice parameters (Å, degrees): 5.933 5.933 5.933 82.68 82.68 82.68
Fractional coordinates of all 19 atoms:
Pa 0.000 0.000 0.000
Pa 0.314 0.314 0.314
Be 0.164 0.651 0.651
Be 0.317 0.317 0.813
Be 0.317 0.813 0.317
Be 0.369 0.654 0.939
Be 0.369 0.939 0.654
Be 0.494 0.998 0.998
Be 0.553 0.553 0.553
Be 0.651 0.164 0.651
Be 0.651 0.651 0.164
Be 0.654 0.369 0.939
Be 0.654 0.939 0.369
Be 0.813 0.317 0.317
Be 0.939 0.369 0.654
Be 0.939 0.654 0.369
Be 0.998 0.494 0.998
Be 0.998 0.998 0.494
Ga 0.752 0.752 0.752



Record 16
The following is a PBE calculation of a relaxed structure of Pm6Nd16Ho7, from Alexandria via LeMat-Bulk.

Computed properties:
DFT total energy = -131.0 eV for the cell shown
Total magnetization = 0.0 μB per cell

Lattice parameters (Å, degrees): 11.363 11.363 11.363 60.00 60.00 60.00
Fractional coordinates of all 29 atoms:
Pm 0.230 0.230 0.770
Pm 0.230 0.770 0.230
Pm 0.230 0.770 0.770
Pm 0.770 0.230 0.230
Pm 0.770 0.230 0.770
Pm 0.770 0.770 0.230
Nd 0.123 0.626 0.626
Nd 0.150 0.150 0.150
Nd 0.150 0.150 0.549
Nd 0.150 0.549 0.150
Nd 0.374 0.374 0.374
Nd 0.374 0.374 0.877
Nd 0.374 0.877 0.374
Nd 0.451 0.850 0.850
Nd 0.549 0.150 0.150
Nd 0.626 0.123 0.626
Nd 0.626 0.626 0.123
Nd 0.626 0.626 0.626
Nd 0.850 0.451 0.850
Nd 0.850 0.850 0.451
Nd 0.850 0.850 0.850
Nd 0.877 0.374 0.374
Ho 0.000 0.000 0.500
Ho 0.000 0.500 0.000
Ho 0.000 0.500 0.500
Ho 0.500 0.000 0.000
Ho 0.500 0.000 0.500
Ho 0.500 0.500 0.000
Ho 0.500 0.500 0.500



Record 17
The following is a PBE calculation of a relaxed structure of TaTcSe, from Alexandria via LeMat-Bulk.

Computed properties:
Polymorph energy (0 for the lowest one) = 0.075 eV per atom
DFT total energy = -25.7 eV for the cell shown
E_form (uncorrected) = -6.0 meV per atom
Total magnetization = 0.0 μB per cell

Lattice parameters (Å, degrees): 4.271 4.271 4.271 60.00 60.00 60.00
Fractional coordinates of all 3 atoms:
Ta 0.000 0.000 0.000
Tc 0.250 0.250 0.250
Se 0.500 0.500 0.500



Record 18
The following is a PBE calculation of a relaxed structure of NpPaRh2, from Alexandria via LeMat-Bulk.

Computed properties:
Polymorph energy (0 for the lowest one) = 0.000 eV per atom
DFT total energy = -38.7 eV for the cell shown
Total magnetization = 4.7 μB per cell

Lattice parameters (Å, degrees): 3.454 3.454 6.836 90.00 90.00 90.00
Fractional coordinates of all 4 atoms:
Np 0.000 0.000 0.000
Pa 0.000 0.000 0.500
Rh 0.500 0.500 0.268
Rh 0.500 0.500 0.732



Record 19
The following is a PBE calculation of a relaxed structure of LaPr6Y8, from Alexandria via LeMat-Bulk.

Computed properties:
DFT total energy = -83.5 eV for the cell shown
Total magnetization = 0.0 μB per cell

Lattice parameters (Å, degrees): 8.867 8.867 8.867 62.30 62.30 62.30
Fractional coordinates of all 15 atoms:
La 0.000 0.000 0.000
Pr 0.098 0.233 0.536
Pr 0.233 0.536 0.098
Pr 0.464 0.902 0.767
Pr 0.536 0.098 0.233
Pr 0.767 0.464 0.902
Pr 0.902 0.767 0.464
Y 0.113 0.757 0.709
Y 0.243 0.291 0.887
Y 0.291 0.887 0.243
Y 0.422 0.422 0.422
Y 0.578 0.578 0.578
Y 0.709 0.113 0.757
Y 0.757 0.709 0.113
Y 0.887 0.243 0.291



Record 20
The following is a PBE calculation of a relaxed structure of RuPb3N, from Alexandria via LeMat-Bulk.

Computed properties:
Polymorph energy (0 for the lowest one) = 0.000 eV per atom
DFT total energy = -23.5 eV for the cell shown
E_form (uncorrected) = 1048.5 meV per atom
Total magnetization = 0.9 μB per cell

Lattice parameters (Å, degrees): 4.832 4.832 4.832 90.00 90.00 90.00
Fractional coordinates of all 5 atoms:
Ru 0.000 0.000 0.000
Pb 0.000 0.500 0.500
Pb 0.500 0.000 0.500
Pb 0.500 0.500 0.000
N 0.500 0.500 0.500